Density functional theory data (meta-GGA SCAN) for Nb2ZnIrF at its PBEsol-relaxed geometry.

Results
- DOS(E_F) (states/eV/cell) = 4.46
- M_tot (μB per cell) = 0.00
- uncorrected energy (eV per formula unit) = -151.21

Cell lengths 3.552, 4.850, 4.850 Å; angles 90.00, 90.00, 90.00 degrees
Element x y z (fractional)
1 Ir 0.500 0.500 0.500
2 Nb 0.000 0.500 0.000
3 Nb 0.000 0.000 0.500
4 F 0.500 0.000 0.000
5 Zn 0.000 0.000 0.000



Density functional theory data (meta-GGA SCAN) for Y2RhWI at its PBEsol-relaxed geometry.

Results
- DOS(E_F) (states/eV/cell) = 4.37
- M_tot (μB per cell) = 3.94
- uncorrected energy (eV per formula unit) = -191.48

Cell lengths 5.012, 5.185, 5.185 Å; angles 90.00, 90.00, 90.00 degrees
Last column: magnetic moment on the atom in μB.
Element x y z (fractional)
1 Y 0.000 0.000 0.500  -0.04
2 Y 0.000 0.500 0.000  -0.04
3 W 0.500 0.500 0.500  2.80
4 Rh 0.000 0.000 0.000  0.07
5 I 0.500 0.000 0.000  0.03



Density functional theory data (meta-GGA SCAN) for Sc3Ir2 at its PBEsol-relaxed geometry.

Results
- DOS(E_F) (states/eV/cell) = 3.19
- M_tot (μB per cell) = 0.00
- relative energy among the computed polymorphs (eV per atom) = 0.077
- DFT formation energy (meV per atom) = -958

Cell lengths 4.467, 4.467, 5.635 Å; angles 66.65, 66.65, 60.00 degrees
Element x y z (fractional)
1 Ir 0.602 0.602 0.194
2 Ir 0.398 0.398 0.806
3 Sc 0.000 0.000 0.000
4 Sc 0.213 0.213 0.360
5 Sc 0.787 0.787 0.640



Density functional theory data (meta-GGA SCAN) for LiFe2P at its PBEsol-relaxed geometry.

Results
- DOS(E_F) (states/eV/cell) = 5.20
- M_tot (μB per cell) = 8.76
- DFT formation energy (meV per atom) = 139

Cell lengths 4.806, 5.091, 5.091 Å; angles 77.13, 61.84, 61.84 degrees
Last column: magnetic moment on the atom in μB.
Element x y z (fractional)
1 Fe 0.875 0.455 0.045  2.28
2 Fe 0.080 0.045 0.545  2.28
3 Fe 0.670 0.955 0.455  2.28
4 Fe 0.375 0.545 0.955  2.28
5 P 0.000 0.000 0.000  -0.07
6 P 0.750 0.500 0.500  -0.07
7 Li 0.250 0.500 0.500  -0.02
8 Li 0.500 0.000 0.000  -0.02



Density functional theory data (meta-GGA SCAN) for Ca2H2Se at its PBEsol-relaxed geometry.

Results
- DOS(E_F) (states/eV/cell) = 0.00
- M_tot (μB per cell) = 0.00
- uncorrected energy (eV per formula unit) = -52.65

Cell lengths 3.702, 3.702, 6.455 Å; angles 106.66, 106.66, 90.00 degrees
Element x y z (fractional)
1 H 0.750 0.250 0.500
2 H 0.250 0.750 0.500
3 Ca 0.641 0.641 0.282
4 Ca 0.359 0.359 0.718
5 Se 0.000 0.000 0.000



Density functional theory data (meta-GGA SCAN) for MnRh3 at its PBEsol-relaxed geometry.

Results
- DOS(E_F) (states/eV/cell) = 4.34
- M_tot (μB per cell) = 3.02
- DFT formation energy (meV per atom) = -188

Cell lengths 2.664, 3.694, 5.300 Å; angles 90.00, 90.00, 90.00 degrees
Last column: magnetic moment on the atom in μB.
Element x y z (fractional)
1 Rh 0.000 0.000 0.500  -0.28
2 Rh 0.500 0.500 0.754  -0.19
3 Rh 0.500 0.500 0.246  -0.19
4 Mn 0.000 0.000 0.000  3.58



Density functional theory data (meta-GGA SCAN) for CrIn2P at its PBEsol-relaxed geometry.

Results
- DOS(E_F) (states/eV/cell) = 2.08
- M_tot (μB per cell) = 3.70
- DFT formation energy (meV per atom) = 303

Cell lengths 4.047, 4.047, 5.302 Å; angles 112.43, 112.43, 90.00 degrees
Last column: magnetic moment on the atom in μB.
Element x y z (fractional)
1 Cr 0.000 0.000 0.000  3.66
2 In 0.250 0.750 0.500  -0.09
3 In 0.750 0.250 0.500  -0.09
4 P 0.500 0.500 0.000  -0.02



Density functional theory data (meta-GGA SCAN) for AlSeCl2 at its PBEsol-relaxed geometry.

Results
- DOS(E_F) (states/eV/cell) = 2.50
- M_tot (μB per cell) = 0.74
- relative energy among the computed polymorphs (eV per atom) = 0.306

Cell lengths 3.550, 3.922, 7.947 Å; angles 90.00, 90.00, 116.91 degrees
Last column: magnetic moment on the atom in μB.
Element x y z (fractional)
1 Se 0.000 0.000 0.536  -0.22
2 Cl 0.000 0.000 0.942  -0.05
3 Cl 0.500 0.000 0.286  -0.28
4 Al 0.500 0.000 0.736  -0.01